--- P ---
VASP calculation (GGA-PBE) on a relaxed structure of BeGaI3.

Its space-group type is Pm-3m.

```
data_BeGaI3
_cell_length_a 5.6463
_cell_length_b 5.6463
_cell_length_c 5.6463
_cell_angle_alpha 90.00
_cell_angle_beta 90.00
_cell_angle_gamma 90.00
_space_group_name_H-M_alt 'P 1'
_space_group_IT_number 1
_space_group_name_Hall 'P 1'
loop_
_atom_site_label
_atom_site_type_symbol
_atom_site_fract_x
_atom_site_fract_y
_atom_site_fract_z
_atom_site_occupancy
Be1 Be 0.0000 0.0000 0.0000 1
Ga1 Ga 0.5000 0.5000 0.5000 1
I1 I 0.0000 0.5000 0.5000 1
I2 I 0.5000 0.0000 0.5000 1
I3 I 0.5000 0.5000 0.0000 1
```

--- Q ---
VASP calculation (GGA-PBE) on a relaxed structure of BeGaI3.

Its space-group type is Pm-3m.

```
data_BeGaI3
_cell_length_a 5.3815
_cell_length_b 5.3815
_cell_length_c 5.3815
_cell_angle_alpha 90.00
_cell_angle_beta 90.00
_cell_angle_gamma 90.00
_space_group_name_H-M_alt 'P 1'
_space_group_IT_number 1
_space_group_name_Hall 'P 1'
loop_
_atom_site_label
_atom_site_type_symbol
_atom_site_fract_x
_atom_site_fract_y
_atom_site_fract_z
_atom_site_occupancy
Be1 Be 0.0000 0.0000 0.0000 1
Ga1 Ga 0.5000 0.5000 0.5000 1
I1 I 0.0000 0.0000 0.5000 1
I2 I 0.0000 0.5000 0.0000 1
I3 I 0.5000 0.0000 0.0000 1
```

--- R ---
VASP calculation (GGA-PBE) on a relaxed structure of BeGaI3.

Its space-group type is Ama2.

```
data_BeGaI3
_cell_length_a 4.1273
_cell_length_b 14.1522
_cell_length_c 14.1522
_cell_angle_alpha 151.36
_cell_angle_beta 90.00
_cell_angle_gamma 90.00
_space_group_name_H-M_alt 'P 1'
_space_group_IT_number 1
_space_group_name_Hall 'P 1'
loop_
_atom_site_label
_atom_site_type_symbol
_atom_site_fract_x
_atom_site_fract_y
_atom_site_fract_z
_atom_site_occupancy
Be1 Be 0.2500 0.1200 0.8800 1
Be2 Be 0.7500 0.8800 0.1200 1
Ga1 Ga 0.2500 0.3847 0.7282 1
Ga2 Ga 0.7500 0.7282 0.3847 1
I1 I 0.2500 0.1094 0.7025 1
I2 I 0.2500 0.4296 0.2285 1
I3 I 0.2500 0.7707 0.9317 1
I4 I 0.7500 0.2285 0.4296 1
I5 I 0.7500 0.7025 0.1094 1
I6 I 0.7500 0.9317 0.7707 1
```

Energies relative to the most stable structure are P 0.904; Q 0.335; R 0.000, reported in eV/atom.

--- P ---
VASP calculation (GGA-PBE) on a relaxed structure of BeGaI2.

Its space-group type is Fm-3m.

```
data_BeGaI2
_cell_length_a 5.4014
_cell_length_b 5.4014
_cell_length_c 5.4014
_cell_angle_alpha 60.00
_cell_angle_beta 60.00
_cell_angle_gamma 60.00
_space_group_name_H-M_alt 'P 1'
_space_group_IT_number 1
_space_group_name_Hall 'P 1'
loop_
_atom_site_label
_atom_site_type_symbol
_atom_site_fract_x
_atom_site_fract_y
_atom_site_fract_z
_atom_site_occupancy
Be1 Be 0.0000 0.0000 0.0000 1
Ga1 Ga 0.5000 0.5000 0.5000 1
I1 I 0.2500 0.2500 0.2500 1
I2 I 0.7500 0.7500 0.7500 1
```

--- Q ---
VASP calculation (GGA-PBE) on a relaxed structure of BeGaI2.

Its space-group type is I-42d.

```
data_BeGaI2
_cell_length_a 7.2255
_cell_length_b 7.2255
_cell_length_c 7.2255
_cell_angle_alpha 119.75
_cell_angle_beta 119.75
_cell_angle_gamma 90.43
_space_group_name_H-M_alt 'P 1'
_space_group_IT_number 1
_space_group_name_Hall 'P 1'
loop_
_atom_site_label
_atom_site_type_symbol
_atom_site_fract_x
_atom_site_fract_y
_atom_site_fract_z
_atom_site_occupancy
Be1 Be 0.0000 0.0000 0.0000 1
Be2 Be 0.7500 0.2500 0.5000 1
Ga1 Ga 0.2500 0.7500 0.5000 1
Ga2 Ga 0.5000 0.5000 0.0000 1
I1 I 0.0213 0.6250 0.8963 1
I2 I 0.3750 0.2713 0.3963 1
I3 I 0.7287 0.1250 0.1037 1
I4 I 0.8750 0.9787 0.6037 1
```

Energies relative to the most stable structure are P 0.340; Q 0.000, reported in eV/atom.

--- P ---
VASP calculation (GGA-PBE) on a relaxed structure of BeGaTe2I.

Its space-group type is P4/mmm.

```
data_BeGaTe2I
_cell_length_a 5.0303
_cell_length_b 5.0303
_cell_length_c 5.5519
_cell_angle_alpha 90.00
_cell_angle_beta 90.00
_cell_angle_gamma 90.00
_space_group_name_H-M_alt 'P 1'
_space_group_IT_number 1
_space_group_name_Hall 'P 1'
loop_
_atom_site_label
_atom_site_type_symbol
_atom_site_fract_x
_atom_site_fract_y
_atom_site_fract_z
_atom_site_occupancy
Be1 Be 0.0000 0.0000 0.0000 1
Ga1 Ga 0.5000 0.5000 0.5000 1
Te1 Te 0.0000 0.5000 0.0000 1
Te2 Te 0.5000 0.0000 0.0000 1
I1 I 0.0000 0.0000 0.5000 1
```

--- Q ---
VASP calculation (GGA-PBE) on a relaxed structure of BeGaTe2I.

Its space-group type is P4/mmm.

```
data_BeGaTe2I
_cell_length_a 5.4305
_cell_length_b 5.4305
_cell_length_c 5.5042
_cell_angle_alpha 90.00
_cell_angle_beta 90.00
_cell_angle_gamma 90.00
_space_group_name_H-M_alt 'P 1'
_space_group_IT_number 1
_space_group_name_Hall 'P 1'
loop_
_atom_site_label
_atom_site_type_symbol
_atom_site_fract_x
_atom_site_fract_y
_atom_site_fract_z
_atom_site_occupancy
Be1 Be 0.0000 0.0000 0.0000 1
Ga1 Ga 0.5000 0.5000 0.5000 1
Te1 Te 0.0000 0.5000 0.5000 1
Te2 Te 0.5000 0.0000 0.5000 1
I1 I 0.5000 0.5000 0.0000 1
```

Energies relative to the most stable structure are P 0.000; Q 0.593, reported in eV/atom.

--- P ---
VASP calculation (GGA-PBE) on a relaxed structure of BeGaTeI2.

Its space-group type is P4/mmm.

```
data_BeGaTeI2
_cell_length_a 5.5598
_cell_length_b 5.5598
_cell_length_c 5.5321
_cell_angle_alpha 90.00
_cell_angle_beta 90.00
_cell_angle_gamma 90.00
_space_group_name_H-M_alt 'P 1'
_space_group_IT_number 1
_space_group_name_Hall 'P 1'
loop_
_atom_site_label
_atom_site_type_symbol
_atom_site_fract_x
_atom_site_fract_y
_atom_site_fract_z
_atom_site_occupancy
Be1 Be 0.0000 0.0000 0.0000 1
Ga1 Ga 0.5000 0.5000 0.5000 1
Te1 Te 0.5000 0.5000 0.0000 1
I1 I 0.0000 0.5000 0.5000 1
I2 I 0.5000 0.0000 0.5000 1
```

--- Q ---
VASP calculation (GGA-PBE) on a relaxed structure of BeGaTeI2.

Its space-group type is P4/mmm.

```
data_BeGaTeI2
_cell_length_a 5.3999
_cell_length_b 5.3999
_cell_length_c 5.0507
_cell_angle_alpha 90.00
_cell_angle_beta 90.00
_cell_angle_gamma 90.00
_space_group_name_H-M_alt 'P 1'
_space_group_IT_number 1
_space_group_name_Hall 'P 1'
loop_
_atom_site_label
_atom_site_type_symbol
_atom_site_fract_x
_atom_site_fract_y
_atom_site_fract_z
_atom_site_occupancy
Be1 Be 0.0000 0.0000 0.0000 1
Ga1 Ga 0.5000 0.5000 0.5000 1
Te1 Te 0.0000 0.0000 0.5000 1
I1 I 0.0000 0.5000 0.0000 1
I2 I 0.5000 0.0000 0.0000 1
```

Energies relative to the most stable structure are P 0.567; Q 0.000, reported in eV/atom.

--- P ---
VASP calculation (GGA-PBE) on a relaxed structure of BeInGa2.

Its space-group type is R-3m.

```
data_BeInGa2
_cell_length_a 9.2408
_cell_length_b 9.2408
_cell_length_c 9.2408
_cell_angle_alpha 20.12
_cell_angle_beta 20.12
_cell_angle_gamma 20.12
_space_group_name_H-M_alt 'P 1'
_space_group_IT_number 1
_space_group_name_Hall 'P 1'
loop_
_atom_site_label
_atom_site_type_symbol
_atom_site_fract_x
_atom_site_fract_y
_atom_site_fract_z
_atom_site_occupancy
Be1 Be 0.0000 0.0000 0.0000 1
In1 In 0.5000 0.5000 0.5000 1
Ga1 Ga 0.0824 0.0824 0.0824 1
Ga2 Ga 0.9176 0.9176 0.9176 1
```

--- Q ---
VASP calculation (GGA-PBE) on a relaxed structure of BeInGa2.

Its space-group type is Fm-3m.

```
data_BeInGa2
_cell_length_a 4.7386
_cell_length_b 4.7386
_cell_length_c 4.7386
_cell_angle_alpha 60.00
_cell_angle_beta 60.00
_cell_angle_gamma 60.00
_space_group_name_H-M_alt 'P 1'
_space_group_IT_number 1
_space_group_name_Hall 'P 1'
loop_
_atom_site_label
_atom_site_type_symbol
_atom_site_fract_x
_atom_site_fract_y
_atom_site_fract_z
_atom_site_occupancy
Be1 Be 0.0000 0.0000 0.0000 1
In1 In 0.5000 0.5000 0.5000 1
Ga1 Ga 0.2500 0.2500 0.2500 1
Ga2 Ga 0.7500 0.7500 0.7500 1
```

Energies relative to the most stable structure are P 0.049; Q 0.000, reported in eV/atom.

--- P ---
VASP calculation (GGA-PBE) on a relaxed structure of BeIn2Ga.

Its space-group type is Fm-3m.

```
data_BeIn2Ga
_cell_length_a 4.8872
_cell_length_b 4.8872
_cell_length_c 4.8872
_cell_angle_alpha 60.00
_cell_angle_beta 60.00
_cell_angle_gamma 60.00
_space_group_name_H-M_alt 'P 1'
_space_group_IT_number 1
_space_group_name_Hall 'P 1'
loop_
_atom_site_label
_atom_site_type_symbol
_atom_site_fract_x
_atom_site_fract_y
_atom_site_fract_z
_atom_site_occupancy
Be1 Be 0.0000 0.0000 0.0000 1
In1 In 0.2500 0.2500 0.2500 1
In2 In 0.7500 0.7500 0.7500 1
Ga1 Ga 0.5000 0.5000 0.5000 1
```

--- Q ---
VASP calculation (GGA-PBE) on a relaxed structure of BeIn2Ga.

Its space-group type is I-42d.

```
data_BeIn2Ga
_cell_length_a 8.9917
_cell_length_b 8.9917
_cell_length_c 8.9917
_cell_angle_alpha 150.59
_cell_angle_beta 150.59
_cell_angle_gamma 42.08
_space_group_name_H-M_alt 'P 1'
_space_group_IT_number 1
_space_group_name_Hall 'P 1'
loop_
_atom_site_label
_atom_site_type_symbol
_atom_site_fract_x
_atom_site_fract_y
_atom_site_fract_z
_atom_site_occupancy
Be1 Be 0.0000 0.0000 0.0000 1
Be2 Be 0.7500 0.2500 0.5000 1
In1 In 0.0911 0.6250 0.9661 1
In2 In 0.3750 0.3411 0.4661 1
In3 In 0.6589 0.1250 0.0339 1
In4 In 0.8750 0.9089 0.5339 1
Ga1 Ga 0.2500 0.7500 0.5000 1
Ga2 Ga 0.5000 0.5000 0.0000 1
```

Energies relative to the most stable structure are P 0.047; Q 0.000, reported in eV/atom.

--- P ---
VASP calculation (GGA-PBE) on a relaxed structure of BeGaIr.

Its space-group type is R-3m.

```
data_BeGaIr
_cell_length_a 6.3315
_cell_length_b 6.3315
_cell_length_c 6.3315
_cell_angle_alpha 38.33
_cell_angle_beta 38.33
_cell_angle_gamma 38.33
_space_group_name_H-M_alt 'P 1'
_space_group_IT_number 1
_space_group_name_Hall 'P 1'
loop_
_atom_site_label
_atom_site_type_symbol
_atom_site_fract_x
_atom_site_fract_y
_atom_site_fract_z
_atom_site_occupancy
Be1 Be 0.1335 0.1335 0.1335 1
Be2 Be 0.8666 0.8666 0.8666 1
Ga1 Ga 0.4121 0.4121 0.4121 1
Ga2 Ga 0.5879 0.5879 0.5879 1
Ir1 Ir 0.2661 0.2661 0.2661 1
Ir2 Ir 0.7339 0.7339 0.7339 1
```

--- Q ---
VASP calculation (GGA-PBE) on a relaxed structure of BeGaIr.

Its space-group type is I4mm.

```
data_BeGaIr
_cell_length_a 4.6795
_cell_length_b 4.6795
_cell_length_c 4.6795
_cell_angle_alpha 142.68
_cell_angle_beta 142.68
_cell_angle_gamma 53.80
_space_group_name_H-M_alt 'P 1'
_space_group_IT_number 1
_space_group_name_Hall 'P 1'
loop_
_atom_site_label
_atom_site_type_symbol
_atom_site_fract_x
_atom_site_fract_y
_atom_site_fract_z
_atom_site_occupancy
Be1 Be 0.0000 0.0000 0.0000 1
Ga1 Ga 0.3268 0.3268 0.0000 1
Ir1 Ir 0.6356 0.6356 0.0000 1
```

Energies relative to the most stable structure are P 0.266; Q 0.000, reported in eV/atom.